[1]
First-principles (PBE) data for crystalline TaPd8Au2 at its relaxed geometry, as listed in Alexandria.

Lattice parameters (Å, degrees): 4.2369 6.8013 6.8014 106.35 89.99 89.99
Element x y z (fractional)
Ta1 0.5000 0.0000 0.0000
Pd1 0.0000 0.9622 0.7059
Pd2 0.0000 0.7059 0.9622
Pd3 0.5000 0.6761 0.6761
Pd4 0.5000 0.2346 0.7654
Pd5 0.5000 0.7654 0.2346
Pd6 0.5000 0.3239 0.3239
Pd7 0.0000 0.2941 0.0378
Pd8 0.0000 0.0378 0.2941
Au1 0.0000 0.6239 0.3761
Au2 0.0000 0.3761 0.6239

The value obtained for the excess energy over the best structure of this formula in the dataset is 0.000 eV/f.u. The density of states at the Fermi level comes out at 10.5 states/eV per cell. The calculation puts the uncorrected energy at -61.00 eV per formula unit. For the formation energy, the calculation gives -1.05 eV/f.u.



[2]
First-principles (PBE) data for crystalline SrEuMgBi at its relaxed geometry, as listed in Alexandria.

Lattice parameters (Å, degrees): 5.7909 5.7909 5.7909 60.00 60.00 60.00
Element x y z (fractional)
Eu1 0.5000 0.5000 0.5000
Sr1 0.0000 0.0000 0.0000
Mg1 0.7500 0.7500 0.7500
Bi1 0.2500 0.2500 0.2500

The density of states at the Fermi level comes out at 3.8 states/eV per cell. The calculation puts the uncorrected energy at -19.17 eV per formula unit. For the formation energy, the calculation gives -1.74 eV/f.u.